No. 1
{
  "formula": "LaCoBCl2",
  "functional": "PBE",
  "state": "relaxed",
  "lattice_angstrom": [[-0.2659, -0.6416, -4.3434], [-1.5608, -5.0695, 0.8445], [-4.2004, 1.3040, 0.0645]],
  "species": ["Cl", "Cl", "Co", "B", "La"],
  "frac_coords": [[0.5000, 0.0000, 0.0000], [0.0000, 0.0000, 0.5000], [0.5000, 0.5000, 0.5000], [0.0000, 0.0000, 0.0000], [0.0000, 0.5000, 0.0000]],
  "sg": "P4/mmm (123)",
  "vol_a3_per_cell": 103.9,
  "e_form_raw_ev_per_fu": 2.54
}


No. 2
{
  "formula": "La2CoBCl",
  "functional": "PBE",
  "state": "relaxed",
  "lattice_angstrom": [[-1.5179, -0.6698, 5.0445], [3.0807, -2.2449, 0.6289], [2.8222, 4.2696, 1.4161]],
  "species": ["Cl", "Co", "B", "La", "La"],
  "frac_coords": [[0.5000, 0.5000, 0.5000], [0.0000, 0.0000, 0.0000], [0.0000, 0.5000, 0.0000], [0.5000, 0.0000, 0.0000], [0.0000, 0.0000, 0.5000]],
  "sg": "P4/mmm (123)",
  "vol_a3_per_cell": 108.9,
  "e_form_raw_ev_per_fu": -2.85
}


No. 3
{
  "formula": "Co2BNCl",
  "functional": "PBE",
  "state": "relaxed",
  "lattice_angstrom": [[-0.9152, -3.9271, -0.8606], [2.2200, 0.1300, -2.9541], [3.1677, -1.2479, 2.3257]],
  "species": ["Co", "Co", "Cl", "B", "N"],
  "frac_coords": [[0.0000, 0.0000, 0.5000], [0.5000, 0.0000, 0.0000], [0.0000, 0.0000, 0.0000], [0.0000, 0.5000, 0.0000], [0.5000, 0.5000, 0.5000]],
  "sg": "P4/mmm (123)",
  "vol_a3_per_cell": 62.9,
  "e_form_raw_ev_per_fu": 11.38
}


Copy entry 2 word for word.
{
  "formula": "La2CoBCl",
  "functional": "PBE",
  "state": "relaxed",
  "lattice_angstrom": [[-1.5179, -0.6698, 5.0445], [3.0807, -2.2449, 0.6289], [2.8222, 4.2696, 1.4161]],
  "species": ["Cl", "Co", "B", "La", "La"],
  "frac_coords": [[0.5000, 0.5000, 0.5000], [0.0000, 0.0000, 0.0000], [0.0000, 0.5000, 0.0000], [0.5000, 0.0000, 0.0000], [0.0000, 0.0000, 0.5000]],
  "sg": "P4/mmm (123)",
  "vol_a3_per_cell": 108.9,
  "e_form_raw_ev_per_fu": -2.85
}